i.
# La2Nd2Tm3, optimized geometry, DFT PBE
# - Volume: 477 Å³/cell
# - Crystal system: monoclinic
data_La2Nd2Tm3
_chemical_formula_sum 'La4 Nd4 Tm6'
_cell_length_a 6.190
_cell_length_b 13.028
_cell_length_c 6.363
_cell_angle_alpha 90.00
_cell_angle_beta 111.51
_cell_angle_gamma 90.00
_space_group_name_H-M_alt 'P 1 21/c 1'
_space_group_IT_number 14
_space_group_name_Hall '-P 2ybc'
loop_
_atom_site_label
_atom_site_fract_x
_atom_site_fract_y
_atom_site_fract_z
La1 0.094 0.178 0.370
Nd1 0.395 0.709 0.638
Tm1 0.174 0.048 0.883
Tm2 0.500 0.000 0.500



ii.
# La2Nd2Tm3, optimized geometry, DFT PBE
# - Volume: 236 Å³/cell
# - Crystal system: monoclinic
data_La2Nd2Tm3
_chemical_formula_sum 'La2 Nd2 Tm3'
_cell_length_a 5.743
_cell_length_b 3.486
_cell_length_c 12.145
_cell_angle_alpha 90.00
_cell_angle_beta 103.60
_cell_angle_gamma 90.00
_space_group_name_H-M_alt 'P 1 2/m 1'
_space_group_IT_number 10
_space_group_name_Hall '-P 2y'
loop_
_atom_site_label
_atom_site_fract_x
_atom_site_fract_y
_atom_site_fract_z
La1 0.148 0.000 0.296
Nd1 0.427 0.500 0.853
Tm1 0.000 0.500 0.000
Tm2 0.285 0.500 0.571



Relative energies in kJ/mol of atoms: i 5.5; ii 0.0



i.
# LaNdTm5, optimized geometry, DFT PBE
# - Volume: 585 Å³/cell
# - Crystal system: orthorhombic
data_LaNdTm5
_chemical_formula_sum 'La2 Nd2 Tm10'
_cell_length_a 5.750
_cell_length_b 8.619
_cell_length_c 11.810
_cell_angle_alpha 90.00
_cell_angle_beta 90.00
_cell_angle_gamma 90.00
_space_group_name_H-M_alt 'I m m m'
_space_group_IT_number 71
_space_group_name_Hall '-I 2 2'
loop_
_atom_site_label
_atom_site_fract_x
_atom_site_fract_y
_atom_site_fract_z
La1 0.000 0.000 0.000
Nd1 0.000 0.000 0.500
Tm1 0.000 0.000 0.255
Tm2 0.000 0.321 0.500
Tm3 0.000 0.500 0.000



ii.
# LaNdTm5, optimized geometry, DFT PBE
# - Volume: 927 Å³/cell
# - Crystal system: orthorhombic
data_LaNdTm5
_chemical_formula_sum 'La4 Nd4 Tm20'
_cell_length_a 7.056
_cell_length_b 11.539
_cell_length_c 11.389
_cell_angle_alpha 90.00
_cell_angle_beta 90.00
_cell_angle_gamma 90.00
_space_group_name_H-M_alt 'I m m a'
_space_group_IT_number 74
_space_group_name_Hall '-I 2b 2'
loop_
_atom_site_label
_atom_site_fract_x
_atom_site_fract_y
_atom_site_fract_z
La1 0.250 0.250 0.250
Nd1 0.000 0.250 0.547
Tm1 0.000 0.033 0.750
Tm2 0.000 0.250 0.955
Tm3 0.248 0.000 0.000



Relative energies in kJ/mol of atoms: i 92.1; ii 0.0



i.
# LaNdTm, optimized geometry, DFT PBE
# - Volume: 421 Å³/cell
# - Crystal system: orthorhombic
data_LaNdTm
_chemical_formula_sum 'La4 Nd4 Tm4'
_cell_length_a 3.504
_cell_length_b 6.591
_cell_length_c 18.235
_cell_angle_alpha 90.00
_cell_angle_beta 90.00
_cell_angle_gamma 90.00
_space_group_name_H-M_alt 'I m m m'
_space_group_IT_number 71
_space_group_name_Hall '-I 2 2'
loop_
_atom_site_label
_atom_site_fract_x
_atom_site_fract_y
_atom_site_fract_z
La1 0.000 0.000 0.170
Nd1 0.000 0.250 0.000
Tm1 0.000 0.000 0.359



ii.
# LaNdTm, optimized geometry, DFT PBE
# - Volume: 204 Å³/cell
# - Crystal system: triclinic
data_LaNdTm
_chemical_formula_sum 'La2 Nd2 Tm2'
_cell_length_a 6.288
_cell_length_b 6.290
_cell_length_c 6.340
_cell_angle_alpha 80.28
_cell_angle_beta 70.27
_cell_angle_gamma 60.02
_space_group_name_H-M_alt 'P -1'
_space_group_IT_number 2
_space_group_name_Hall '-P 1'
loop_
_atom_site_label
_atom_site_fract_x
_atom_site_fract_y
_atom_site_fract_z
La1 0.083 0.333 0.250
Nd1 0.252 0.997 0.750
Tm1 0.418 0.663 0.250



Relative energies in kJ/mol of atoms: i 16.1; ii 0.0



i.
# LaNdTm, optimized geometry, DFT PBE
# - Volume: 412 Å³/cell
# - Crystal system: orthorhombic
data_LaNdTm
_chemical_formula_sum 'La4 Nd4 Tm4'
_cell_length_a 3.557
_cell_length_b 20.818
_cell_length_c 5.557
_cell_angle_alpha 90.00
_cell_angle_beta 90.00
_cell_angle_gamma 90.00
_space_group_name_H-M_alt 'C m c m'
_space_group_IT_number 63
_space_group_name_Hall '-C 2c 2'
loop_
_atom_site_label
_atom_site_fract_x
_atom_site_fract_y
_atom_site_fract_z
La1 0.000 0.113 0.250
Nd1 0.000 0.292 0.250
Tm1 0.000 0.459 0.250



ii.
# LaNdTm, optimized geometry, DFT PBE
# - Volume: 205 Å³/cell
# - Crystal system: tetragonal
data_LaNdTm
_chemical_formula_sum 'La2 Nd2 Tm2'
_cell_length_a 3.663
_cell_length_b 3.663
_cell_length_c 15.303
_cell_angle_alpha 90.00
_cell_angle_beta 90.00
_cell_angle_gamma 90.00
_space_group_name_H-M_alt 'I 4 m m'
_space_group_IT_number 107
_space_group_name_Hall 'I 4 -2'
loop_
_atom_site_label
_atom_site_fract_x
_atom_site_fract_y
_atom_site_fract_z
La1 0.000 0.000 0.000
Nd1 0.000 0.000 0.673
Tm1 0.000 0.000 0.334



Relative energies in kJ/mol of atoms: i 0.7; ii 0.0